No. 1
! CuMo2RuBr PBEsol relaxed; values from VASP
! - uncorrected formation energy (meV/atom) = 1980.6
! - VASP energy (Ry/atom) = -0.441
&SYSTEM
  ibrav = 0, nat = 5, ntyp = 4
/
ATOMIC_SPECIES
Br 79.90 Br.upf
Cu 63.55 Cu.upf
Mo 95.94 Mo.upf
Ru 101.07 Ru.upf
CELL_PARAMETERS angstrom
4.501 0.000 0.000
0.000 4.515 0.000
0.000 0.000 4.515
ATOMIC_POSITIONS crystal
Br 0.500 0.500 0.500
Cu 0.000 0.000 0.000
Mo 0.000 0.000 0.500
Mo 0.000 0.500 0.000
Ru 0.500 0.000 0.000

***

No. 2
! Sc2CuMoBr PBEsol relaxed; values from VASP
! - uncorrected formation energy (meV/atom) = 739.6
! - VASP energy (Ry/atom) = -0.404
&SYSTEM
  ibrav = 0, nat = 5, ntyp = 4
/
ATOMIC_SPECIES
Sc 44.96 Sc.upf
Br 79.90 Br.upf
Mo 95.94 Mo.upf
Cu 63.55 Cu.upf
CELL_PARAMETERS angstrom
-3.483 -2.576 0.214
2.689 -3.460 2.119
-1.088 1.834 4.375
ATOMIC_POSITIONS crystal
Sc 0.000 0.000 0.500
Br 0.000 0.000 0.000
Mo 0.500 0.500 0.500
Cu 0.500 0.000 0.000
Sc 0.000 0.500 0.000

***

No. 3
! Cu2BrN PBEsol relaxed; values from VASP
! - uncorrected formation energy (meV/atom) = 1197.9
! - VASP energy (Ry/atom) = -0.262
&SYSTEM
  ibrav = 0, nat = 4, ntyp = 3
/
ATOMIC_SPECIES
Br 79.90 Br.upf
N 14.01 N.upf
Cu 63.55 Cu.upf
CELL_PARAMETERS angstrom
-2.634 2.079 2.486
-1.414 -1.783 3.501
1.295 1.387 3.720
ATOMIC_POSITIONS crystal
Br 0.500 0.500 0.500
N 0.000 0.000 0.000
Cu 0.250 0.250 0.250
Cu 0.750 0.750 0.750